Entry 1:
Below is a relaxed CsK3Rb2F6 crystal, with properties calculated at the PBE level.

Values from the calculation:
**DOS(E_F)**: 0.0 states/eV/f.u.
**Formation energy without anion corrections**: -2681 meV per atom

a = 3.9855 Å, b = 7.9958 Å, c = 8.9148 Å
α = 103.15°, β = 102.92°, γ = 90.00°
With the nearest neighbours (Å) after each atom.
Fractional coordinates of all 12 atoms:
F 0.3269 0.9221 0.6539  3 K 2.69-2.80, 2 Rb 2.89, 1 Cs 2.93
F 0.6731 0.0779 0.3461  3 K 2.69-2.80, 2 Rb 2.89, 1 Cs 2.93
F 0.9965 0.2690 0.9931  3 K 2.71-2.78, 1 Rb 2.90, 2 Cs 2.94
K 0.1679 0.8291 0.3359  6 F 2.69-2.80
Cs 0.5000 0.0000 0.0000  6 F 2.93-2.94
F 0.3352 0.4109 0.6704  3 K 2.76-2.79, 3 Rb 2.83-2.84
K 0.5000 0.5000 0.0000  6 F 2.71-2.79
K 0.8321 0.1709 0.6641  6 F 2.69-2.80
Rb 0.1678 0.3372 0.3355  6 F 2.83-2.90
F 0.0035 0.7310 0.0069  3 K 2.71-2.78, 1 Rb 2.90, 2 Cs 2.94
F 0.6648 0.5891 0.3296  3 K 2.76-2.79, 3 Rb 2.83-2.84
Rb 0.8322 0.6628 0.6645  6 F 2.83-2.90

Entry 2:
Below is a relaxed Ti7SnBi2H2 crystal, with properties calculated at the PBE level.

Values from the calculation:
**DOS(E_F)**: 11.2 states/eV/f.u.
**Electronic total energy**: -6.46 eV per atom

a = 4.1226 Å, b = 4.1226 Å, c = 11.8749 Å
α = 79.61°, β = 79.61°, γ = 89.98°
With the nearest neighbours (Å) after each atom.
Fractional coordinates of all 12 atoms:
Ti 0.4047 0.9054 0.1833  2 H 2.06
H 0.4065 0.4065 0.1807  6 Ti 2.06-2.30
Ti 0.9054 0.4047 0.1833  2 H 2.06
Ti 0.0946 0.5953 0.8167  2 H 2.06
Ti 0.5953 0.0946 0.8167  2 H 2.06
Ti 0.6993 0.6993 0.6193  1 H 2.30
Ti 0.3007 0.3007 0.3807  1 H 2.30
Sn 0.0000 0.0000 0.0000  12 Ti 2.91-2.95
H 0.5935 0.5935 0.8193  6 Ti 2.06-2.30
Bi 0.8080 0.8080 0.3689  9 Ti 2.88-2.97
Bi 0.1920 0.1920 0.6311  9 Ti 2.88-2.97
Ti 0.5000 0.5000 0.0000  2 H 2.07